# GGA-PBE RbSnSb2Au4, optimized geometry
data_RbSnSb2Au4
_symmetry_space_group_name_H-M 'P 4/m m m'
_symmetry_Int_Tables_number 123
_symmetry_space_group_name_Hall '-P 4 2'
_cell_length_a 4.8207
_cell_length_b 4.8207
_cell_length_c 9.4768
_cell_angle_alpha 90.00
_cell_angle_beta 90.00
_cell_angle_gamma 90.00
loop_
_atom_site_label
_atom_site_type_symbol
_atom_site_fract_x
_atom_site_fract_y
_atom_site_fract_z
Rb1 Rb 0.0000 0.0000 0.0000
Sn1 Sn 0.0000 0.0000 0.5000
Sb1 Sb 0.5000 0.5000 0.1937
Au1 Au 0.0000 0.5000 0.3307
# - formation energy (no corrections) (eV/atom) = -0.18
# - density (Mg/m³) = 9.32
# - calculated volume (Å³ per cell) = 220.2
# - DFT total energy (eV/atom) = -3.466